1.
Tb2PmTmSc4 after structural relaxation. Source: Alexandria via LeMat-Bulk, functional PBE.

## Properties
Symmetry: C2/c, No. 15
ΔH_f (0 K), eV per formula unit: 3.440

Cell: 9.0916 9.0916 11.2911 Å, 128.38 128.38 88.38°
With the nearest neighbours (Å) after each atom.
Positions (direct):
Tb (0.5000, 0.0000, 0.0000)  6 Sc 3.17-3.26, 2 Pm 3.26
Tb (0.5000, 0.0000, 0.5000)  6 Sc 3.17-3.26, 2 Pm 3.26
Tb (0.0000, 0.0000, 0.5000)  6 Sc 3.20-3.28, 2 Tb 3.26
Tb (0.5000, 0.5000, 0.0000)  6 Sc 3.20-3.28, 2 Tb 3.26
Pm (0.0000, 0.5000, 0.0000)  6 Sc 3.17-3.26, 2 Tb 3.26
Pm (0.0000, 0.5000, 0.5000)  6 Sc 3.17-3.26, 2 Tb 3.26
Tm (0.5000, 0.5000, 0.5000)  6 Sc 3.14-3.25, 2 Tm 3.26
Tm (0.0000, 0.0000, 0.0000)  6 Sc 3.14-3.25, 2 Tm 3.26
Sc (0.2483, 0.7528, 0.0005)  1 Tm 3.14, 3 Tb 3.20-3.26, 2 Sc 3.25-3.27, 2 Pm 3.26
Sc (0.7472, 0.2517, 0.4995)  1 Tm 3.14, 3 Tb 3.20-3.26, 2 Sc 3.25-3.27, 2 Pm 3.26
Sc (0.2528, 0.7483, 0.5005)  1 Tm 3.14, 3 Tb 3.20-3.26, 2 Sc 3.25-3.27, 2 Pm 3.26
Sc (0.7517, 0.2472, 0.9995)  1 Tm 3.14, 3 Tb 3.20-3.26, 2 Sc 3.25-3.27, 2 Pm 3.26
Sc (0.7484, 0.7486, 0.9965)  3 Tb 3.17-3.28, 1 Pm 3.17, 2 Tm 3.24-3.25, 2 Sc 3.26
Sc (0.7514, 0.7516, 0.5035)  3 Tb 3.17-3.28, 1 Pm 3.17, 2 Tm 3.24-3.25, 2 Sc 3.26
Sc (0.2486, 0.2484, 0.4965)  3 Tb 3.17-3.28, 1 Pm 3.17, 2 Tm 3.24-3.25, 2 Sc 3.26
Sc (0.2516, 0.2514, 0.0035)  3 Tb 3.17-3.28, 1 Pm 3.17, 2 Tm 3.24-3.25, 2 Sc 3.26

=====

2.
TbPmTmSc after structural relaxation. Source: Alexandria via LeMat-Bulk, functional PBE.

## Properties
Distance to the lowest polymorph of the same formula, eV/atom: 0.007
Symmetry: F-43m, No. 216
ΔH_f (0 K), eV per formula unit: 0.407

Cell: 5.5526 5.5526 5.5526 Å, 60.00 60.00 60.00°
With the nearest neighbours (Å) after each atom.
Positions (direct):
Sc (0.0000, 0.0000, 0.0000)  4 Tb 3.40, 4 Pm 3.40
Tm (0.5000, 0.5000, 0.5000)  4 Tb 3.40, 4 Pm 3.40
Tb (0.2500, 0.2500, 0.2500)  4 Tm 3.40, 4 Sc 3.40
Pm (0.7500, 0.7500, 0.7500)  4 Sc 3.40, 4 Tm 3.40

=====

3.
Tb5Pm2TmSc after structural relaxation. Source: Alexandria via LeMat-Bulk, functional PBE.

## Properties
Symmetry: Cmc2_1, No. 36
ΔH_f (0 K), eV per formula unit: 1.366

Cell: 5.5312 10.4649 10.3538 Å, 90.00 90.00 105.32°
With the nearest neighbours (Å) after each atom.
Positions (direct):
Tb (0.3723, 0.7446, 0.0197)  4 Pm 3.51-3.57, 1 Sc 3.60, 4 Tb 3.60-3.71
Tb (0.7264, 0.4528, 0.8213)  1 Tm 3.03, 1 Pm 3.25, 2 Tb 3.36
Tb (0.4839, 0.9679, 0.7423)  2 Tm 3.17-3.32, 2 Pm 3.46
Tb (0.2987, 0.5973, 0.7025)  1 Tm 3.31, 3 Tb 3.36-3.60, 2 Sc 3.38, 2 Pm 3.48
Tb (0.9846, 0.9692, 0.5145)  2 Tm 3.24, 3 Pm 3.33-3.52, 1 Sc 3.61
Tb (0.6277, 0.2554, 0.5197)  4 Pm 3.51-3.57, 1 Sc 3.60, 4 Tb 3.60-3.71
Tb (0.2736, 0.5472, 0.3213)  1 Tm 3.03, 1 Pm 3.25, 2 Tb 3.36
Tb (0.5161, 0.0321, 0.2423)  2 Tm 3.17-3.32, 2 Pm 3.46
Tb (0.7013, 0.4027, 0.2025)  1 Tm 3.31, 3 Tb 3.36-3.60, 2 Sc 3.38, 2 Pm 3.48
Tb (0.0154, 0.0308, 0.0145)  2 Tm 3.24, 3 Pm 3.33-3.52, 1 Sc 3.61
Pm (0.8872, 0.7744, 0.8124)  8 Tb 3.25-3.51, 1 Sc 3.49
Pm (0.1152, 0.2304, 0.7361)  1 Sc 3.30, 6 Tb 3.50-3.67, 2 Tm 3.63
Pm (0.1128, 0.2256, 0.3124)  8 Tb 3.25-3.51, 1 Sc 3.49
Pm (0.8848, 0.7696, 0.2361)  1 Sc 3.30, 6 Tb 3.50-3.67, 2 Tm 3.63
Tm (0.5945, 0.1889, 0.9600)  6 Tb 3.03-3.32
Tm (0.4055, 0.8111, 0.4600)  6 Tb 3.03-3.32
Sc (0.8058, 0.6117, 0.5150)  2 Pm 3.30-3.49, 7 Tb 3.38-3.61, 2 Tm 3.47
Sc (0.1942, 0.3883, 0.0150)  2 Pm 3.30-3.49, 7 Tb 3.38-3.61, 2 Tm 3.47

=====

4.
TbPm6TmSc2 after structural relaxation. Source: Alexandria via LeMat-Bulk, functional PBE.

## Properties
Symmetry: C2/c, No. 15
ΔH_f (0 K), eV per formula unit: 1.253

Cell: 9.4861 8.7614 8.7614 Å, 117.63 93.99 93.99°
With the nearest neighbours (Å) after each atom.
Positions (direct):
Tb (0.2500, 0.9712, 0.0288)  4 Sc 3.36-3.39, 6 Pm 3.55-3.71
Tb (0.7500, 0.0288, 0.9712)  4 Sc 3.36-3.39, 6 Pm 3.55-3.71
Pm (0.0526, 0.1123, 0.7629)  7 Pm 3.39-3.76, 1 Sc 3.40, 2 Tb 3.58-3.71
Pm (0.4474, 0.2371, 0.8877)  7 Pm 3.39-3.76, 1 Sc 3.40, 2 Tb 3.58-3.71
Pm (0.9474, 0.8877, 0.2371)  7 Pm 3.39-3.76, 1 Sc 3.40, 2 Tb 3.58-3.71
Pm (0.5526, 0.7629, 0.1123)  7 Pm 3.39-3.76, 1 Sc 3.40, 2 Tb 3.58-3.71
Pm (0.3162, 0.9904, 0.4410)  3 Pm 3.27-3.55, 1 Tm 3.40, 2 Sc 3.42-3.61, 1 Tb 3.55
Pm (0.1838, 0.5590, 0.0096)  3 Pm 3.27-3.55, 1 Tm 3.40, 2 Sc 3.42-3.61, 1 Tb 3.55
Pm (0.6838, 0.0096, 0.5590)  3 Pm 3.27-3.55, 1 Tm 3.40, 2 Sc 3.42-3.61, 1 Tb 3.55
Pm (0.8162, 0.4410, 0.9904)  3 Pm 3.27-3.55, 1 Tm 3.40, 2 Sc 3.42-3.61, 1 Tb 3.55
Pm (0.1174, 0.7020, 0.4929)  3 Sc 3.21-3.39, 3 Pm 3.26-3.39, 2 Tm 3.35-3.49
Pm (0.3826, 0.5071, 0.2980)  3 Sc 3.21-3.39, 3 Pm 3.26-3.39, 2 Tm 3.35-3.49
Pm (0.8826, 0.2980, 0.5071)  3 Sc 3.21-3.39, 3 Pm 3.26-3.39, 2 Tm 3.35-3.49
Pm (0.6174, 0.4929, 0.7020)  3 Sc 3.21-3.39, 3 Pm 3.26-3.39, 2 Tm 3.35-3.49
Tm (0.2500, 0.4097, 0.5903)  6 Pm 3.35-3.49, 2 Sc 3.47
Tm (0.7500, 0.5903, 0.4097)  6 Pm 3.35-3.49, 2 Sc 3.47
Sc (0.4514, 0.8002, 0.7012)  5 Pm 3.21-3.42, 2 Tb 3.36-3.39, 1 Tm 3.47
Sc (0.0486, 0.2988, 0.1998)  5 Pm 3.21-3.42, 2 Tb 3.36-3.39, 1 Tm 3.47
Sc (0.5486, 0.1998, 0.2988)  5 Pm 3.21-3.42, 2 Tb 3.36-3.39, 1 Tm 3.47
Sc (0.9514, 0.7012, 0.8002)  5 Pm 3.21-3.42, 2 Tb 3.36-3.39, 1 Tm 3.47

=====

5.
TbPm6Tm3Sc2 after structural relaxation. Source: Alexandria via LeMat-Bulk, functional PBE.

## Properties
Symmetry: C2/m, No. 12
ΔH_f (0 K), eV per formula unit: 0.415

Cell: 6.1517 6.1517 11.5757 Å, 95.07 95.07 119.97°
With the nearest neighbours (Å) after each atom.
Positions (direct):
Tb (0.0000, 0.0000, 0.0000)  6 Pm 3.49, 6 Sc 3.55
Pm (0.9174, 0.5810, 0.7538)  2 Sc 3.47, 1 Tb 3.49, 3 Tm 3.53-3.55, 6 Pm 3.54-3.58
Pm (0.7464, 0.7464, 0.2465)  2 Sc 3.47, 1 Tb 3.49, 3 Tm 3.53-3.55, 6 Pm 3.54-3.58
Pm (0.0826, 0.4190, 0.2462)  2 Sc 3.47, 1 Tb 3.49, 3 Tm 3.53-3.55, 6 Pm 3.54-3.58
Pm (0.5810, 0.9174, 0.7538)  2 Sc 3.47, 1 Tb 3.49, 3 Tm 3.53-3.55, 6 Pm 3.54-3.58
Pm (0.2536, 0.2536, 0.7535)  2 Sc 3.47, 1 Tb 3.49, 3 Tm 3.53-3.55, 6 Pm 3.54-3.58
Pm (0.4190, 0.0826, 0.2462)  2 Sc 3.47, 1 Tb 3.49, 3 Tm 3.53-3.55, 6 Pm 3.54-3.58
Tm (0.1668, 0.8332, 0.5000)  6 Pm 3.53-3.55, 6 Tm 3.55
Tm (0.8332, 0.1668, 0.5000)  6 Pm 3.53-3.55, 6 Tm 3.55
Tm (0.5000, 0.5000, 0.5000)  6 Pm 3.53-3.55, 6 Tm 3.55
Sc (0.3336, 0.6664, 0.0000)  6 Pm 3.47, 3 Sc 3.55-3.56, 3 Tb 3.55
Sc (0.6664, 0.3336, 0.0000)  6 Pm 3.47, 3 Sc 3.55-3.56, 3 Tb 3.55

=====

6.
Tb2Pm4Tm2Sc after structural relaxation. Source: Alexandria via LeMat-Bulk, functional PBE.

## Properties
Symmetry: C2/m, No. 12
ΔH_f (0 K), eV per formula unit: 0.298

Cell: 3.5569 9.4040 8.6992 Å, 90.14 90.00 100.90°
With the nearest neighbours (Å) after each atom.
Positions (direct):
Tb (0.8896, 0.7791, 0.3291)  2 Tm 3.50, 1 Sc 3.52, 7 Pm 3.52-3.66, 2 Tb 3.56
Tb (0.1104, 0.2209, 0.6709)  2 Tm 3.50, 1 Sc 3.52, 7 Pm 3.52-3.66, 2 Tb 3.56
Pm (0.7776, 0.5551, 0.6725)  3 Tm 3.53, 6 Pm 3.56-3.63, 3 Tb 3.56-3.64
Pm (0.2224, 0.4449, 0.3275)  3 Tm 3.53, 6 Pm 3.56-3.63, 3 Tb 3.56-3.64
Pm (0.5541, 0.1082, 0.3231)  2 Sc 3.47, 1 Tm 3.49, 4 Tb 3.52-3.66, 5 Pm 3.56-3.67
Pm (0.4459, 0.8918, 0.6769)  2 Sc 3.47, 1 Tm 3.49, 4 Tb 3.52-3.66, 5 Pm 3.56-3.67
Tm (0.3357, 0.6713, 0.0016)  4 Pm 3.49-3.53, 2 Tb 3.50, 2 Sc 3.52, 4 Tm 3.56-3.63
Tm (0.6643, 0.3287, 0.9984)  4 Pm 3.49-3.53, 2 Tb 3.50, 2 Sc 3.52, 4 Tm 3.56-3.63
Sc (0.0000, 0.0000, 0.0000)  4 Pm 3.47, 4 Tm 3.52, 2 Tb 3.52, 2 Sc 3.56

=====

7.
Tb2PmTm2Sc after structural relaxation. Source: Alexandria via LeMat-Bulk, functional PBE.

## Properties
Symmetry: Pmma, No. 51
ΔH_f (0 K), eV per formula unit: 0.455

Cell: 5.5374 6.8762 9.5572 Å, 90.00 90.00 90.00°
With the nearest neighbours (Å) after each atom.
Positions (direct):
Tb (0.0000, 0.2576, 0.8323)  3 Tm 3.16-3.44, 2 Sc 3.18
Tb (0.5000, 0.2576, 0.3319)  2 Tm 3.20, 3 Sc 3.22-3.44
Tb (0.0000, 0.7576, 0.1677)  3 Tm 3.16-3.44, 2 Sc 3.18
Tb (0.5000, 0.7576, 0.6681)  2 Tm 3.20, 3 Sc 3.22-3.44
Pm (0.0000, 0.0076, 0.5000)  2 Pm 3.44, 6 Tb 3.61-3.63, 4 Sc 3.64, 2 Tm 3.65
Pm (0.0000, 0.5076, 0.5000)  2 Pm 3.44, 6 Tb 3.61-3.63, 4 Sc 3.64, 2 Tm 3.65
Tm (0.5000, 0.0076, 0.0000)  6 Tm 3.44-3.61, 2 Sc 3.60, 6 Tb 3.61-3.63
Tm (0.0000, 0.2576, 0.1633)  5 Tb 3.16-3.44
Tm (0.5000, 0.5076, 0.0000)  6 Tm 3.44-3.61, 2 Sc 3.60, 6 Tb 3.61-3.63
Tm (0.0000, 0.7576, 0.8367)  5 Tb 3.16-3.44
Sc (0.5000, 0.2576, 0.6691)  5 Tb 3.18-3.44
Sc (0.5000, 0.7576, 0.3309)  5 Tb 3.18-3.44

=====

8.
Tb3PmTm6Sc2 after structural relaxation. Source: Alexandria via LeMat-Bulk, functional PBE.

## Properties
Symmetry: C2/m, No. 12
ΔH_f (0 K), eV per formula unit: 0.452

Cell: 6.0272 6.0272 11.5440 Å, 94.98 94.98 119.96°
With the nearest neighbours (Å) after each atom.
Positions (direct):
Tb (0.1672, 0.8328, 0.5000)  6 Tb 3.47-3.49, 6 Tm 3.51-3.53
Tb (0.8328, 0.1672, 0.5000)  6 Tb 3.47-3.49, 6 Tm 3.51-3.53
Tb (0.5000, 0.5000, 0.5000)  6 Tb 3.47-3.48, 6 Tm 3.51-3.52
Pm (0.0000, 0.0000, 0.0000)  6 Tm 3.45, 6 Sc 3.48
Tm (0.9177, 0.5821, 0.7541)  2 Sc 3.44, 1 Pm 3.45, 6 Tm 3.47-3.51, 3 Tb 3.51-3.52
Tm (0.7462, 0.7462, 0.2457)  2 Sc 3.44, 1 Pm 3.45, 6 Tm 3.47-3.51, 3 Tb 3.51-3.53
Tm (0.0823, 0.4179, 0.2459)  2 Sc 3.44, 1 Pm 3.45, 6 Tm 3.47-3.51, 3 Tb 3.51-3.52
Tm (0.5821, 0.9177, 0.7541)  2 Sc 3.44, 1 Pm 3.45, 6 Tm 3.47-3.51, 3 Tb 3.51-3.52
Tm (0.2538, 0.2538, 0.7543)  2 Sc 3.44, 1 Pm 3.45, 6 Tm 3.47-3.51, 3 Tb 3.51-3.53
Tm (0.4179, 0.0823, 0.2459)  2 Sc 3.44, 1 Pm 3.45, 6 Tm 3.47-3.51, 3 Tb 3.51-3.52
Sc (0.3332, 0.6668, 0.0000)  6 Tm 3.44, 3 Pm 3.48, 3 Sc 3.48
Sc (0.6668, 0.3332, 0.0000)  6 Tm 3.44, 3 Pm 3.48, 3 Sc 3.48

=====

9.
Tb2Pm4TmSc after structural relaxation. Source: Alexandria via LeMat-Bulk, functional PBE.

## Properties
Symmetry: Pmmm, No. 47
ΔH_f (0 K), eV per formula unit: 0.226

Cell: 5.0766 5.0653 11.1295 Å, 62.91 90.00 90.00°
With the nearest neighbours (Å) after each atom.
Positions (direct):
Tb (0.0000, 0.0000, 0.0000)  8 Pm 3.57, 4 Tm 3.59
Tb (0.5000, 0.0000, 0.5000)  8 Pm 3.52, 4 Sc 3.59
Pm (0.0000, 0.7546, 0.7457)  2 Sc 3.51, 4 Tb 3.52-3.57, 2 Tm 3.58, 4 Pm 3.58-3.59
Pm (0.0000, 0.2454, 0.2543)  2 Sc 3.51, 4 Tb 3.52-3.57, 2 Tm 3.58, 4 Pm 3.58-3.59
Pm (0.5000, 0.7463, 0.2537)  4 Tb 3.52-3.57, 2 Sc 3.52, 2 Tm 3.57, 4 Pm 3.58-3.59
Pm (0.5000, 0.2537, 0.7463)  4 Tb 3.52-3.57, 2 Sc 3.52, 2 Tm 3.57, 4 Pm 3.58-3.59
Tm (0.5000, 0.5000, 0.0000)  8 Pm 3.57-3.58, 4 Tb 3.59
Sc (0.0000, 0.5000, 0.5000)  8 Pm 3.51-3.52, 4 Tb 3.59

=====

10.
Tb2PmTm5Sc after structural relaxation. Source: Alexandria via LeMat-Bulk, functional PBE.

## Properties
Symmetry: Cmc2_1, No. 36
ΔH_f (0 K), eV per formula unit: 1.529

Cell: 5.5164 10.1550 10.3148 Å, 90.00 90.00 105.76°
With the nearest neighbours (Å) after each atom.
Positions (direct):
Tb (0.8887, 0.7774, 0.8151)  9 Tm 3.24-3.54, 1 Sc 3.53
Tb (0.1139, 0.2278, 0.7341)  1 Sc 3.31, 7 Tm 3.40-3.62, 2 Pm 3.61
Tb (0.1113, 0.2226, 0.3151)  9 Tm 3.24-3.54, 1 Sc 3.53
Tb (0.8861, 0.7722, 0.2341)  1 Sc 3.31, 7 Tm 3.40-3.62, 2 Pm 3.61
Pm (0.5865, 0.1731, 0.9545)  5 Tm 3.00-3.21
Pm (0.4135, 0.8269, 0.4545)  5 Tm 3.00-3.21
Tm (0.3777, 0.7553, 0.0200)  4 Tb 3.48-3.54, 1 Sc 3.53, 6 Tm 3.54-3.90
Tm (0.7229, 0.4458, 0.8216)  1 Pm 3.00, 1 Tb 3.24, 2 Tm 3.35
Tm (0.4808, 0.9615, 0.7382)  2 Pm 3.04-3.21, 2 Tb 3.39
Tm (0.2983, 0.5966, 0.7058)  4 Tm 3.35-3.59, 3 Sc 3.40-3.74, 1 Pm 3.43, 3 Tb 3.46-3.62
Tm (0.9815, 0.9629, 0.5207)  2 Pm 3.14, 3 Tb 3.31-3.49, 1 Sc 3.49
Tm (0.6223, 0.2447, 0.5200)  4 Tb 3.48-3.54, 1 Sc 3.53, 6 Tm 3.54-3.90
Tm (0.2771, 0.5542, 0.3216)  1 Pm 3.00, 1 Tb 3.24, 2 Tm 3.35
Tm (0.5192, 0.0385, 0.2382)  2 Pm 3.04-3.21, 2 Tb 3.39
Tm (0.7017, 0.4034, 0.2058)  4 Tm 3.35-3.59, 3 Sc 3.40-3.74, 1 Pm 3.43, 3 Tb 3.46-3.62
Tm (0.0185, 0.0371, 0.0207)  2 Pm 3.14, 3 Tb 3.31-3.49, 1 Sc 3.49
Sc (0.8029, 0.6057, 0.5140)  2 Tb 3.31-3.53, 7 Tm 3.40-3.54, 2 Pm 3.56
Sc (0.1971, 0.3943, 0.0140)  2 Tb 3.31-3.53, 7 Tm 3.40-3.54, 2 Pm 3.56

=====

| no. | raw total energy (eV per atom) |
| --- | --- |
| 1 | -5.05 |
| 2 | -4.94 |
| 3 | -4.68 |
| 4 | -4.90 |
| 5 | -4.90 |
| 6 | -4.80 |
| 7 | -4.81 |
| 8 | -4.81 |
| 9 | -4.85 |
| 10 | -4.57 |